First-principles (PBE) data for an optimized crystal structure of LaCr2GaTe, as listed in Alexandria.

The structure in CIF format:
```
data_LaCr2GaTe
_chemical_formula_sum 'La1 Cr2 Ga1 Te1'
_cell_length_a 4.6381
_cell_length_b 5.6062
_cell_length_c 4.6381
_cell_angle_alpha 90.00
_cell_angle_beta 90.00
_cell_angle_gamma 90.00
_symmetry_space_group_name_H-M 'P 1'
_symmetry_Int_Tables_number 1
loop_
_symmetry_equiv_pos_as_xyz
'x,y,z'
loop_
_atom_site_label
_atom_site_fract_x
_atom_site_fract_y
_atom_site_fract_z
Cr1 0.5000 0.0000 0.0000
La1 0.0000 0.0000 0.0000
Ga1 0.0000 0.5000 0.0000
Te1 0.5000 0.5000 0.5000
Cr2 0.0000 0.0000 0.5000
```

Results
ΔE_f (raw): 1.67 eV/atom
total magnetic moment: 0.3 μB per cell
calculated volume: 24.1 Å³/atom

---

First-principles (PBE) data for an optimized crystal structure of LaCrGaTe2, as listed in Alexandria.

The structure in CIF format:
```
data_LaCrGaTe2
_chemical_formula_sum 'La1 Cr1 Ga1 Te2'
_cell_length_a 6.1287
_cell_length_b 5.8144
_cell_length_c 6.1287
_cell_angle_alpha 90.00
_cell_angle_beta 90.00
_cell_angle_gamma 90.00
_symmetry_space_group_name_H-M 'P 1'
_symmetry_Int_Tables_number 1
loop_
_symmetry_equiv_pos_as_xyz
'x,y,z'
loop_
_atom_site_label
_atom_site_fract_x
_atom_site_fract_y
_atom_site_fract_z
Te1 0.5000 0.0000 0.0000
Te2 0.0000 0.0000 0.5000
Ga1 0.5000 0.5000 0.5000
La1 0.0000 0.0000 0.0000
Cr1 0.0000 0.5000 0.0000
```

Results
ΔE_f (raw): 0.39 eV/atom
total magnetic moment: 5.3 μB per cell
calculated volume: 43.7 Å³/atom

---

First-principles (PBE) data for an optimized crystal structure of LaVCr2Ga, as listed in Alexandria.

The structure in CIF format:
```
data_LaVCr2Ga
_chemical_formula_sum 'La1 V1 Cr2 Ga1'
_cell_length_a 4.3305
_cell_length_b 5.4852
_cell_length_c 4.3305
_cell_angle_alpha 90.00
_cell_angle_beta 90.00
_cell_angle_gamma 90.00
_symmetry_space_group_name_H-M 'P 1'
_symmetry_Int_Tables_number 1
loop_
_symmetry_equiv_pos_as_xyz
'x,y,z'
loop_
_atom_site_label
_atom_site_fract_x
_atom_site_fract_y
_atom_site_fract_z
Cr1 0.5000 0.0000 0.0000
La1 0.0000 0.5000 0.0000
Ga1 0.5000 0.5000 0.5000
V1 0.0000 0.0000 0.0000
Cr2 0.0000 0.0000 0.5000
```

Results
total magnetic moment: 0.0 μB per cell
calculated volume: 20.6 Å³/atom
formation energy from the elements: 1.075 eV per atom

---

First-principles (PBE) data for an optimized crystal structure of LiCrGa2, as listed in Alexandria.

The structure in CIF format:
```
data_LiCrGa2
_chemical_formula_sum 'Li2 Cr2 Ga4'
_cell_length_a 3.8551
_cell_length_b 3.8551
_cell_length_c 9.0364
_cell_angle_alpha 77.68
_cell_angle_beta 77.68
_cell_angle_gamma 90.00
_symmetry_space_group_name_H-M 'P 1'
_symmetry_Int_Tables_number 1
loop_
_symmetry_equiv_pos_as_xyz
'x,y,z'
loop_
_atom_site_label
_atom_site_fract_x
_atom_site_fract_y
_atom_site_fract_z
Ga1 0.3750 0.3555 0.7500
Li1 0.5000 0.5000 0.0000
Cr1 0.7500 0.2500 0.5000
Ga2 0.8750 0.8945 0.7500
Ga3 0.1055 0.6250 0.2500
Li2 0.2500 0.7500 0.5000
Ga4 0.6445 0.1250 0.2500
Cr2 0.0000 0.0000 0.0000
```

Results
total magnetic moment: 0.0 μB per cell
calculated volume: 16.0 Å³/atom
formation energy from the elements: 0.491 eV per atom

---

First-principles (PBE) data for an optimized crystal structure of LiCrGa3, as listed in Alexandria.

The structure in CIF format:
```
data_LiCrGa3
_chemical_formula_sum 'Li1 Cr1 Ga3'
_cell_length_a 4.6878
_cell_length_b 4.6878
_cell_length_c 4.6878
_cell_angle_alpha 90.00
_cell_angle_beta 90.00
_cell_angle_gamma 90.00
_symmetry_space_group_name_H-M 'P 1'
_symmetry_Int_Tables_number 1
loop_
_symmetry_equiv_pos_as_xyz
'x,y,z'
loop_
_atom_site_label
_atom_site_fract_x
_atom_site_fract_y
_atom_site_fract_z
Ga1 0.5000 0.0000 0.0000
Ga2 0.0000 0.5000 0.0000
Ga3 0.0000 0.0000 0.5000
Li1 0.5000 0.5000 0.5000
Cr1 0.0000 0.0000 0.0000
```

Results
total magnetic moment: 0.0 μB per cell
energy above the most stable polymorph in this dataset: 0 meV/atom
calculated volume: 20.6 Å³/atom
formation energy from the elements: 0.154 eV per atom

---

First-principles (PBE) data for an optimized crystal structure of LiCr2Ga, as listed in Alexandria.

The structure in CIF format:
```
data_LiCr2Ga
_chemical_formula_sum 'Li2 Cr4 Ga2'
_cell_length_a 6.6904
_cell_length_b 6.6904
_cell_length_c 5.2925
_cell_angle_alpha 50.80
_cell_angle_beta 50.80
_cell_angle_gamma 90.00
_symmetry_space_group_name_H-M 'P 1'
_symmetry_Int_Tables_number 1
loop_
_symmetry_equiv_pos_as_xyz
'x,y,z'
loop_
_atom_site_label
_atom_site_fract_x
_atom_site_fract_y
_atom_site_fract_z
Ga1 0.0000 0.0000 0.0000
Cr1 0.8750 0.8696 0.7500
Li1 0.5000 0.5000 0.0000
Cr2 0.3750 0.3804 0.7500
Ga2 0.7500 0.2500 0.5000
Li2 0.2500 0.7500 0.5000
Cr3 0.1304 0.6250 0.2500
Cr4 0.6196 0.1250 0.2500
```

Results
total magnetic moment: 3.9 μB per cell
calculated volume: 13.3 Å³/atom
formation energy from the elements: 0.702 eV per atom

---

First-principles (PBE) data for an optimized crystal structure of LiCrGa2, as listed in Alexandria.

The structure in CIF format:
```
data_LiCrGa2
_chemical_formula_sum 'Li1 Cr1 Ga2'
_cell_length_a 3.0346
_cell_length_b 3.0346
_cell_length_c 6.1788
_cell_angle_alpha 90.00
_cell_angle_beta 90.00
_cell_angle_gamma 90.00
_symmetry_space_group_name_H-M 'P 1'
_symmetry_Int_Tables_number 1
loop_
_symmetry_equiv_pos_as_xyz
'x,y,z'
loop_
_atom_site_label
_atom_site_fract_x
_atom_site_fract_y
_atom_site_fract_z
Cr1 0.5000 0.5000 0.0000
Ga1 0.0000 0.0000 0.2483
Ga2 0.0000 0.0000 0.7517
Li1 0.5000 0.5000 0.5000
```

Results
total magnetic moment: 2.3 μB per cell
calculated volume: 14.2 Å³/atom
formation energy from the elements: -0.114 eV per atom

---

First-principles (PBE) data for an optimized crystal structure of Li2CrGaN4, as listed in Alexandria.

The structure in CIF format:
```
data_Li2CrGaN4
_chemical_formula_sum 'Li4 Cr2 Ga2 N8'
_cell_length_a 5.1635
_cell_length_b 5.7813
_cell_length_c 6.2460
_cell_angle_alpha 90.00
_cell_angle_beta 90.00
_cell_angle_gamma 90.00
_symmetry_space_group_name_H-M 'P 1'
_symmetry_Int_Tables_number 1
loop_
_symmetry_equiv_pos_as_xyz
'x,y,z'
loop_
_atom_site_label
_atom_site_fract_x
_atom_site_fract_y
_atom_site_fract_z
Ga1 0.9977 0.1536 0.5000
N1 0.8329 0.8517 0.5000
N2 0.8748 0.8854 0.0000
N3 0.4088 0.6900 0.2651
N4 0.9088 0.3100 0.7651
Li1 0.9894 0.6601 0.7512
N5 0.3329 0.1483 0.0000
Cr1 0.4980 0.8378 0.5000
N6 0.4088 0.6900 0.7349
Li2 0.9894 0.6601 0.2488
Li3 0.4894 0.3399 0.7488
Ga2 0.4977 0.8464 0.0000
Li4 0.4894 0.3399 0.2512
N7 0.9088 0.3100 0.2349
N8 0.3748 0.1146 0.5000
Cr2 0.9980 0.1622 0.0000
```

Results
ΔE_f (raw): -0.26 eV/atom
total magnetic moment: 2.0 μB per cell
calculated volume: 11.7 Å³/atom

---

First-principles (PBE) data for an optimized crystal structure of Li2CrGaN, as listed in Alexandria.

The structure in CIF format:
```
data_Li2CrGaN
_chemical_formula_sum 'Li2 Cr1 Ga1 N1'
_cell_length_a 4.0356
_cell_length_b 4.0356
_cell_length_c 3.7321
_cell_angle_alpha 90.00
_cell_angle_beta 90.00
_cell_angle_gamma 90.00
_symmetry_space_group_name_H-M 'P 1'
_symmetry_Int_Tables_number 1
loop_
_symmetry_equiv_pos_as_xyz
'x,y,z'
loop_
_atom_site_label
_atom_site_fract_x
_atom_site_fract_y
_atom_site_fract_z
Li1 0.0000 0.5000 0.0000
N1 0.0000 0.0000 0.0000
Li2 0.5000 0.0000 0.0000
Cr1 0.0000 0.0000 0.5000
Ga1 0.5000 0.5000 0.5000
```

Results
ΔE_f (raw): -0.29 eV/atom
total magnetic moment: 1.9 μB per cell
calculated volume: 12.2 Å³/atom

---

First-principles (PBE) data for an optimized crystal structure of Na2LiCrGa, as listed in Alexandria.

The structure in CIF format:
```
data_Na2LiCrGa
_chemical_formula_sum 'Na2 Li1 Cr1 Ga1'
_cell_length_a 5.4885
_cell_length_b 4.9600
_cell_length_c 5.4885
_cell_angle_alpha 90.00
_cell_angle_beta 90.00
_cell_angle_gamma 90.00
_symmetry_space_group_name_H-M 'P 1'
_symmetry_Int_Tables_number 1
loop_
_symmetry_equiv_pos_as_xyz
'x,y,z'
loop_
_atom_site_label
_atom_site_fract_x
_atom_site_fract_y
_atom_site_fract_z
Li1 0.0000 0.5000 0.0000
Na1 0.5000 0.0000 0.0000
Cr1 0.5000 0.5000 0.5000
Na2 0.0000 0.0000 0.5000
Ga1 0.0000 0.0000 0.0000
```

Results
total magnetic moment: 4.3 μB per cell
calculated volume: 29.9 Å³/atom
formation energy from the elements: 0.703 eV per atom

---

First-principles (PBE) data for an optimized crystal structure of LiNbCr2Ga, as listed in Alexandria.

The structure in CIF format:
```
data_LiNbCr2Ga
_chemical_formula_sum 'Li1 Nb1 Cr2 Ga1'
_cell_length_a 4.0272
_cell_length_b 4.3589
_cell_length_c 4.0272
_cell_angle_alpha 90.00
_cell_angle_beta 90.00
_cell_angle_gamma 90.00
_symmetry_space_group_name_H-M 'P 1'
_symmetry_Int_Tables_number 1
loop_
_symmetry_equiv_pos_as_xyz
'x,y,z'
loop_
_atom_site_label
_atom_site_fract_x
_atom_site_fract_y
_atom_site_fract_z
Cr1 0.5000 0.0000 0.0000
Nb1 0.0000 0.5000 0.0000
Cr2 0.0000 0.0000 0.5000
Ga1 0.5000 0.5000 0.5000
Li1 0.0000 0.0000 0.0000
```

Results
total magnetic moment: 0.0 μB per cell
calculated volume: 14.1 Å³/atom
formation energy from the elements: 1.118 eV per atom